1.
This record from Alexandria via LeMat-Bulk describes a relaxed RbTl3As2 crystal. The functional is PBE.

abc: 5.1963 9.5014 11.2081
angles: 47.03 76.60 74.13
With the nearest neighbours (Å) after each atom.
Atoms (fractional coordinates):
Rb1 0.8787 0.0807 0.1618  6 As 3.54-3.84, 7 Tl 3.68-3.93
Rb2 0.1213 0.9193 0.8382  6 As 3.54-3.84, 7 Tl 3.68-3.93
As1 0.5125 0.8382 0.1368  1 As 2.45
As2 0.2205 0.2914 0.2676  7 Tl 3.02-3.27
As3 0.7795 0.7086 0.7324  7 Tl 3.02-3.27
As4 0.4875 0.1618 0.8632  1 As 2.45
Tl1 0.6824 0.5425 0.0926  4 As 3.04-3.14
Tl2 0.3305 0.8430 0.4960  3 As 3.08-3.27, 1 Tl 3.41
Tl3 0.6695 0.1570 0.5040  3 As 3.08-3.27, 1 Tl 3.41
Tl4 0.9485 0.4191 0.6839  3 As 3.02-3.17, 1 Tl 3.23
Tl5 0.3176 0.4575 0.9074  4 As 3.04-3.14
Tl6 0.0515 0.5809 0.3161  3 As 3.02-3.17, 1 Tl 3.23

## Properties
SG	C2/m (12)

***

2.
This record from Alexandria via LeMat-Bulk describes a relaxed RbTl4As2 crystal. The functional is PBE.

abc: 4.9439 4.9753 9.3560
angles: 105.42 90.00 90.00
With the nearest neighbours (Å) after each atom.
Atoms (fractional coordinates):
Rb1 0.0000 0.0000 0.0000  8 As 3.72, 8 Tl 4.01
Tl1 0.0000 0.6743 0.3487  2 As 3.12
Tl2 0.5000 0.8253 0.6506  2 As 3.14, 4 Tl 3.51
Tl3 0.5000 0.1747 0.3494  2 As 3.14, 4 Tl 3.51
Tl4 0.0000 0.3257 0.6513  2 As 3.12
As1 0.5000 0.5687 0.1373  1 As 2.48
As2 0.5000 0.4313 0.8627  1 As 2.48

## Properties
SG	Cmmm (65)

***

Number 1: energy of formation -0.7 eV/f.u., M_tot 0.0000 μB per atom. Number 2: energy of formation -0.9 eV/f.u., M_tot 0.0000 μB per atom.